Record 1
TiInGaNiC: relaxed, PBE.

Properties
Crystal system: trigonal
Space group: R3m, No. 160
Formation energy from the elements (meV per atom): -129

a = 9.0921 Å, b = 9.0921 Å, c = 9.0921 Å
α = 19.96°, β = 19.96°, γ = 19.96°
Sites, in units of the cell vectors:
Ti 0.0000 0.0000 0.0000
In 0.4831 0.4831 0.4831
Ga 0.5858 0.5858 0.5858
Ni 0.7381 0.7381 0.7381
C 0.3722 0.3722 0.3722

Record 2
TiInGaNiC: relaxed, PBE.

Properties
Crystal system: monoclinic
Space group: Pm, No. 6
Formation energy from the elements (meV per atom): 10

a = 4.6701 Å, b = 3.0563 Å, c = 5.3980 Å
α = 90.00°, β = 99.68°, γ = 90.00°
Sites, in units of the cell vectors:
Ti 0.0000 0.0000 0.0000
In 0.9427 0.5000 0.4911
Ga 0.4879 0.5000 0.8425
Ni 0.5222 0.0000 0.2363
C 0.2507 0.5000 0.1635

Record 3
TiInGaNiC: relaxed, PBE.

Properties
Crystal system: monoclinic
Space group: Cm, No. 8
Formation energy from the elements (meV per atom): 18

a = 5.6709 Å, b = 5.6709 Å, c = 4.8994 Å
α = 115.52°, β = 115.52°, γ = 31.19°
Sites, in units of the cell vectors:
Ti 0.0000 0.0000 0.0000
In 0.7324 0.7324 0.5015
Ga 0.4558 0.4558 0.4446
Ni 0.2300 0.2300 0.9550
C 0.6112 0.6112 0.9435

Record 4
InGa2SiC: relaxed, PBE.

Properties
ΔE_f (raw) (eV/atom): 0.72
Crystal system: tetragonal
Space group: P4/mmm, No. 123

a = 4.7158 Å, b = 4.7158 Å, c = 3.8598 Å
α = 90.00°, β = 90.00°, γ = 90.00°
Sites, in units of the cell vectors:
In 0.0000 0.0000 0.0000
Ga 0.0000 0.5000 0.5000
Ga 0.5000 0.0000 0.5000
Si 0.5000 0.5000 0.0000
C 0.5000 0.5000 0.5000

Record 5
InGa2TcC: relaxed, PBE.

Properties
Crystal system: tetragonal
Space group: P4/mmm, No. 123
Formation energy from the elements (meV per atom): 1514

a = 4.7947 Å, b = 4.7947 Å, c = 5.2281 Å
α = 90.00°, β = 90.00°, γ = 90.00°
Sites, in units of the cell vectors:
In 0.0000 0.0000 0.0000
Ga 0.0000 0.5000 0.5000
Ga 0.5000 0.0000 0.5000
Tc 0.0000 0.0000 0.5000
C 0.5000 0.5000 0.0000

Record 6
Ga3IrC: relaxed, PBE.

Properties
Crystal system: cubic
Space group: Pm-3m, No. 221
Formation energy from the elements (meV per atom): 1001

a = 4.7959 Å, b = 4.7959 Å, c = 4.7959 Å
α = 90.00°, β = 90.00°, γ = 90.00°
Sites, in units of the cell vectors:
Ga 0.0000 0.0000 0.5000
Ga 0.0000 0.5000 0.0000
Ga 0.5000 0.0000 0.0000
Ir 0.0000 0.0000 0.0000
C 0.5000 0.5000 0.5000